(1)
Here is crystalline CeNpV2O8 at its relaxed geometry from the Alexandria database. Energies are from PBE with a Hubbard U.

a b c (Å): 4.7558 4.7561 6.8917
angles (deg): 90.00 90.00 89.57
Closest atoms and distances in Å follow each position.
Fractional positions:
Ce 0.0000 0.0000 0.5000  6 O 2.16-2.30
Np 0.0000 0.0000 0.0000  6 O 2.04-2.10
V 0.5000 0.5000 0.7464  6 O 1.99-2.20
V 0.5000 0.5000 0.2536  6 O 1.99-2.20
O 0.2028 0.7963 0.2319  1 V 1.99, 1 Np 2.10
O 0.6967 0.6975 0.0000  1 Np 2.04, 2 V 2.20
O 0.7972 0.2037 0.2319  1 V 1.99, 1 Np 2.10
O 0.7972 0.2037 0.7681  1 V 1.99, 1 Np 2.10
O 0.3033 0.3025 0.0000  1 Np 2.04, 2 V 2.20
O 0.2028 0.7963 0.7681  1 V 1.99, 1 Np 2.10
O 0.6803 0.6813 0.5000  2 V 2.09, 1 Ce 2.16
O 0.3197 0.3187 0.5000  2 V 2.09, 1 Ce 2.16

Raw total energy (eV per cell): -104.28
Magnetization (μB per atom): 0.417
Space-group type: Cmmm
Crystal system: orthorhombic


(2)
Here is crystalline TaMnOF2 at its relaxed geometry from the Alexandria database. Energies are from PBE with a Hubbard U.

a b c (Å): 3.8916 3.8916 4.6778
angles (deg): 90.00 90.00 90.00
Closest atoms and distances in Å follow each position.
Fractional positions:
F 0.0000 0.5000 0.0000  2 Mn 1.95
F 0.5000 0.0000 0.0000  2 Mn 1.95
Mn 0.0000 0.0000 0.0000  4 F 1.95
O 0.0000 0.0000 0.5000  2 Mn 2.34
Ta 0.5000 0.5000 0.5000  4 O 2.75, 8 F 3.04

Offset from the most stable computed form (meV/atom): 714
Magnetization (μB per atom): 1.592
Space-group type: P4/mmm
Crystal system: tetragonal